[1]
Computed, not measured: Ru4Pt3 after structural relaxation at the PBE level of DFT.

Values from the calculation:
Calculated formation energy in eV per atom: 0.504
Energy in eV/atom: -7.385
Polymorph energy (0 for the lowest one) in meV/atom: 534.1
DOS(E_F) in states/eV/atom: 1.70

Cell: 5.112 5.112 4.803 Å, 90.00 90.00 120.00°
Atoms (fractional coordinates):
Pt  0.000  0.500  0.000
Pt  0.500  0.000  0.000
Pt  0.500  0.500  0.000
Ru  0.333  0.667  0.500
Ru  0.000  0.000  0.737
Ru  0.000  0.000  0.263
Ru  0.667  0.333  0.500



[2]
Computed, not measured: LaHgTe2 after structural relaxation at the PBE level of DFT.

Values from the calculation:
Energy in eV/atom: -3.556
Formation energy (no corrections) in eV/atom: -0.68
DOS(E_F) in states/eV/atom: 1.11

Cell: 7.060 7.060 8.897 Å, 66.62 66.62 90.00°
Atoms (fractional coordinates):
Te  0.121  0.625  0.250
Te  0.875  0.879  0.750
Te  0.375  0.371  0.750
Te  0.629  0.125  0.250
Hg  0.000  0.000  0.000
Hg  0.750  0.250  0.500
La  0.500  0.500  0.000
La  0.250  0.750  0.500



[3]
Computed, not measured: Mn2Re3 after structural relaxation at the PBE level of DFT.

Values from the calculation:
Calculated formation energy in eV per atom: 0.157
Energy in eV/atom: -10.980
Polymorph energy (0 for the lowest one) in meV/atom: 30.8
DOS(E_F) in states/eV/atom: 1.00

Cell: 10.976 10.976 10.976 Å, 14.08 14.08 14.08°
Atoms (fractional coordinates):
Mn  0.399  0.399  0.399
Mn  0.601  0.601  0.601
Re  0.203  0.203  0.203
Re  0.000  0.000  0.000
Re  0.797  0.797  0.797



[4]
Computed, not measured: Mg2IrO6 after structural relaxation at the PBE level of DFT.

Values from the calculation:
Energy in eV/atom: -6.021
Formation energy (no corrections) in eV/atom: -1.38
DOS(E_F) in states/eV/atom: 0.38

Cell: 4.710 4.710 9.165 Å, 90.00 90.00 90.00°
Each line ends with the local moment (μB).
Atoms (fractional coordinates):
Mg  0.000  0.000  0.334  0.01
Mg  0.500  0.500  0.834  0.01
Mg  0.500  0.500  0.166  0.01
Mg  0.000  0.000  0.666  0.01
O  0.807  0.193  0.848  0.12
O  0.807  0.193  0.152  0.12
O  0.307  0.307  0.348  0.12
O  0.693  0.693  0.652  0.12
O  0.217  0.783  0.500  -0.06
O  0.717  0.717  0.000  -0.06
O  0.283  0.283  0.000  -0.06
O  0.193  0.807  0.152  0.12
O  0.783  0.217  0.500  -0.06
O  0.193  0.807  0.848  0.12
O  0.307  0.307  0.652  0.12
O  0.693  0.693  0.348  0.12
Ir  0.500  0.500  0.500  0.47
Ir  0.000  0.000  0.000  0.47



[5]
Computed, not measured: CaReO2 after structural relaxation at the PBE level of DFT.

Values from the calculation:
Energy in eV/atom: -7.632
Formation energy (no corrections) in eV/atom: -1.54
Polymorph energy (0 for the lowest one) in meV/atom: 0.0
DOS(E_F) in states/eV/atom: 0.51

Cell: 6.716 6.716 6.716 Å, 27.00 27.00 27.00°
Each line ends with the local moment (μB).
Atoms (fractional coordinates):
Re  0.000  0.000  0.000  0.46
O  0.097  0.097  0.097  0.05
O  0.903  0.903  0.903  0.05
Ca  0.500  0.500  0.500  0.02



[6]
Computed, not measured: H4Pd2Pt after structural relaxation at the PBE level of DFT.

Values from the calculation:
Energy in eV/atom: -4.274
Polymorph energy (0 for the lowest one) in meV/atom: 0.0
DOS(E_F) in states/eV/atom: 0.18

Cell: 2.916 4.265 5.613 Å, 111.82 105.05 90.00°
Atoms (fractional coordinates):
H  0.846  0.080  0.692
H  0.454  0.717  0.909
H  0.546  0.283  0.091
H  0.154  0.920  0.308
Pt  0.000  0.000  0.000
Pd  0.316  0.324  0.631
Pd  0.684  0.676  0.369



[7]
Computed, not measured: Cd2CoRu after structural relaxation at the PBE level of DFT.

Values from the calculation:
Calculated formation energy in eV per atom: 0.398
Energy in eV/atom: -4.155
Polymorph energy (0 for the lowest one) in meV/atom: 196.5
DOS(E_F) in states/eV/atom: 0.85

Cell: 4.806 4.806 4.806 Å, 129.07 129.07 74.90°
Each line ends with the local moment (μB).
Atoms (fractional coordinates):
Cd  0.000  0.000  0.000  -0.01
Cd  0.250  0.750  0.500  -0.03
Ru  0.750  0.250  0.500  1.04
Co  0.500  0.500  0.000  1.74



[8]
Computed, not measured: LiCu3Pd after structural relaxation at the PBE level of DFT.

Values from the calculation:
Calculated formation energy in eV per atom: -0.006
Energy in eV/atom: -3.885
Polymorph energy (0 for the lowest one) in meV/atom: 0.0
DOS(E_F) in states/eV/atom: 0.26

Cell: 4.783 4.783 4.101 Å, 118.86 118.86 62.64°
Atoms (fractional coordinates):
Cu  0.324  0.324  0.792
Cu  0.758  0.287  0.539
Cu  0.287  0.758  0.539
Li  0.992  0.992  0.010
Pd  0.701  0.701  0.244



Among the records above, which one has the lowest energy? Mn2Re3



Among the records above, which one has the highest energy? LaHgTe2



Please write out number 2 again, unchanged.
Computed, not measured: LaHgTe2 after structural relaxation at the PBE level of DFT.

Values from the calculation:
Energy in eV/atom: -3.556
Formation energy (no corrections) in eV/atom: -0.68
DOS(E_F) in states/eV/atom: 1.11

Cell: 7.060 7.060 8.897 Å, 66.62 66.62 90.00°
Atoms (fractional coordinates):
Te  0.121  0.625  0.250
Te  0.875  0.879  0.750
Te  0.375  0.371  0.750
Te  0.629  0.125  0.250
Hg  0.000  0.000  0.000
Hg  0.750  0.250  0.500
La  0.500  0.500  0.000
La  0.250  0.750  0.500